[1]
Material: MnCoCu
Method: DFT, PBE
State: optimized geometry

Properties
**E above lowest polymorph**: 0.479 eV/atom
**Formation enthalpy at 0 K**: 644 meV/atom
**Calculated volume**: 43.6 Å³/cell
**Size of the total moment**: 5.355 Bohr magnetons per cell

Lattice parameters (Å, degrees): 3.951 3.951 3.951 60.00 60.00 60.00
Element x y z (fractional)
Co 0.500 0.500 0.500
Mn 0.000 0.000 0.000
Cu 0.750 0.750 0.750

[2]
Material: MnCoCu
Method: DFT, PBE
State: optimized geometry

Properties
**E above lowest polymorph**: 0.000 eV/atom
**Formation enthalpy at 0 K**: 165 meV/atom
**Calculated volume**: 35.8 Å³/cell
**Size of the total moment**: 4.112 Bohr magnetons per cell

Lattice parameters (Å, degrees): 4.687 4.687 4.687 143.84 143.64 52.22
Element x y z (fractional)
Co 0.007 0.007 0.000
Mn 0.658 0.658 0.000
Cu 0.335 0.335 0.000

[3]
Material: Mn2CoCu
Method: DFT, PBE
State: optimized geometry

Properties
**E above lowest polymorph**: 0.403 eV/atom
**Formation enthalpy at 0 K**: 502 meV/atom
**Calculated volume**: 44.4 Å³/cell
**Size of the total moment**: 0.000 Bohr magnetons per cell

Lattice parameters (Å, degrees): 3.974 3.974 3.974 60.00 60.00 60.00
Element x y z (fractional)
Mn 0.250 0.250 0.250
Mn 0.750 0.750 0.750
Co 0.000 0.000 0.000
Cu 0.500 0.500 0.500

[4]
Material: MnCoCu
Method: DFT, PBE
State: optimized geometry

Properties
**E above lowest polymorph**: 0.011 eV/atom
**Formation enthalpy at 0 K**: 176 meV/atom
**Calculated volume**: 66.6 Å³/cell
**Size of the total moment**: 0.007 Bohr magnetons per cell

Lattice parameters (Å, degrees): 3.588 3.554 5.522 90.00 108.98 90.00
Element x y z (fractional)
Mn 0.568 0.750 0.136
Mn 0.432 0.250 0.864
Co 0.076 0.250 0.150
Co 0.924 0.750 0.850
Cu 0.751 0.250 0.503
Cu 0.249 0.750 0.497

[5]
Material: Mn2CoCu
Method: DFT, PBE
State: optimized geometry

Properties
**E above lowest polymorph**: 0.104 eV/atom
**Formation enthalpy at 0 K**: 203 meV/atom
**Calculated volume**: 50.4 Å³/cell
**Size of the total moment**: 8.325 Bohr magnetons per cell

Lattice parameters (Å, degrees): 4.829 4.829 4.829 143.00 131.20 62.79
Element x y z (fractional)
Co 0.501 0.501 0.000
Mn 0.740 0.240 0.500
Mn 0.003 0.003 0.000
Cu 0.255 0.755 0.500

[6]
Material: Mn2CoCu
Method: DFT, PBE
State: optimized geometry

Properties
**E above lowest polymorph**: 0.022 eV/atom
**Formation enthalpy at 0 K**: 121 meV/atom
**Calculated volume**: 44.7 Å³/cell
**Size of the total moment**: 1.688 Bohr magnetons per cell

Lattice parameters (Å, degrees): 8.454 8.454 8.454 16.93 16.93 16.93
Element x y z (fractional)
Mn 0.004 0.004 0.004
Mn 0.748 0.748 0.748
Cu 0.250 0.250 0.250
Co 0.498 0.498 0.498

[7]
Material: Mn2CoCu
Method: DFT, PBE
State: optimized geometry

Properties
**E above lowest polymorph**: 0.087 eV/atom
**Formation enthalpy at 0 K**: 186 meV/atom
**Calculated volume**: 45.6 Å³/cell
**Size of the total moment**: 3.874 Bohr magnetons per cell

Lattice parameters (Å, degrees): 2.502 2.502 7.284 90.00 90.00 90.00
Element x y z (fractional)
Mn 0.000 0.000 0.486
Mn 0.000 0.000 0.014
Co 0.500 0.500 0.250
Cu 0.500 0.500 0.750

[8]
Material: Mn2CoCu
Method: DFT, PBE
State: optimized geometry

Properties
**E above lowest polymorph**: 0.501 eV/atom
**Formation enthalpy at 0 K**: 600 meV/atom
**Calculated volume**: 109.5 Å³/cell
**Size of the total moment**: 16.868 Bohr magnetons per cell

Lattice parameters (Å, degrees): 6.555 6.555 5.290 51.71 51.71 90.00
Element x y z (fractional)
Cu 0.750 0.250 0.500
Cu 0.000 0.000 0.000
Mn 0.131 0.625 0.250
Mn 0.875 0.869 0.750
Mn 0.375 0.381 0.750
Mn 0.619 0.125 0.250
Co 0.500 0.500 0.000
Co 0.250 0.750 0.500

[9]
Material: Mn2CoCu
Method: DFT, PBE
State: optimized geometry

Properties
**E above lowest polymorph**: 0.000 eV/atom
**Formation enthalpy at 0 K**: 99 meV/atom
**Calculated volume**: 50.3 Å³/cell
**Size of the total moment**: 8.491 Bohr magnetons per cell

Lattice parameters (Å, degrees): 2.952 2.952 5.770 90.00 90.00 90.00
Element x y z (fractional)
Mn 0.000 0.000 0.759
Mn 0.000 0.000 0.241
Cu 0.500 0.500 0.500
Co 0.500 0.500 0.000

[10]
Material: Mn3CoCu
Method: DFT, PBE
State: optimized geometry

Properties
**E above lowest polymorph**: 0.000 eV/atom
**Formation enthalpy at 0 K**: 990 meV/atom
**Calculated volume**: 87.9 Å³/cell
**Size of the total moment**: 12.480 Bohr magnetons per cell

Lattice parameters (Å, degrees): 4.447 4.447 4.447 90.00 90.00 90.00
Element x y z (fractional)
Mn 0.000 0.500 0.000
Mn 0.500 0.000 0.000
Mn 0.000 0.000 0.500
Co 0.000 0.000 0.000
Cu 0.500 0.500 0.500

[11]
Material: MnCoCu
Method: DFT, PBE
State: optimized geometry

Properties
**E above lowest polymorph**: 0.021 eV/atom
**Formation enthalpy at 0 K**: 186 meV/atom
**Calculated volume**: 33.6 Å³/cell
**Size of the total moment**: 0.540 Bohr magnetons per cell

Lattice parameters (Å, degrees): 5.663 5.663 5.663 154.50 154.50 36.38
Element x y z (fractional)
Cu 0.666 0.666 0.000
Mn 0.342 0.342 0.000
Co 0.993 0.993 0.000

[12]
Material: Mn2CoCu
Method: DFT, PBE
State: optimized geometry

Properties
**E above lowest polymorph**: 0.121 eV/atom
**Formation enthalpy at 0 K**: 219 meV/atom
**Calculated volume**: 45.3 Å³/cell
**Size of the total moment**: 4.062 Bohr magnetons per cell

Lattice parameters (Å, degrees): 4.344 4.344 4.359 79.05 79.05 34.16
Element x y z (fractional)
Co 0.497 0.497 0.509
Cu 0.249 0.249 0.249
Mn 0.751 0.751 0.742
Mn 0.003 0.003 0.000

[13]
Material: MnCoCu
Method: DFT, PBE
State: optimized geometry

Properties
**E above lowest polymorph**: 0.019 eV/atom
**Formation enthalpy at 0 K**: 184 meV/atom
**Calculated volume**: 35.8 Å³/cell
**Size of the total moment**: 4.563 Bohr magnetons per cell

Lattice parameters (Å, degrees): 6.346 6.195 2.500 81.91 75.13 22.96
Element x y z (fractional)
Mn 0.663 0.663 0.337
Cu 0.334 0.334 0.666
Co 0.003 0.003 0.997

[14]
Material: Mn2CoCu
Method: DFT, PBE
State: optimized geometry

Properties
**E above lowest polymorph**: 0.102 eV/atom
**Formation enthalpy at 0 K**: 201 meV/atom
**Calculated volume**: 45.0 Å³/cell
**Size of the total moment**: 3.629 Bohr magnetons per cell

Lattice parameters (Å, degrees): 2.504 3.599 4.999 90.00 90.00 90.00
Element x y z (fractional)
Mn 0.000 0.000 0.010
Mn 0.000 0.000 0.490
Co 0.500 0.500 0.250
Cu 0.500 0.500 0.750

[15]
Material: Mn2CoCu
Method: DFT, PBE
State: optimized geometry

Properties
**E above lowest polymorph**: 0.110 eV/atom
**Formation enthalpy at 0 K**: 209 meV/atom
**Calculated volume**: 44.4 Å³/cell
**Size of the total moment**: 2.815 Bohr magnetons per cell

Lattice parameters (Å, degrees): 8.450 8.450 8.450 16.89 16.89 16.89
Element x y z (fractional)
Cu 0.250 0.250 0.250
Co 0.750 0.750 0.750
Mn 0.003 0.003 0.003
Mn 0.497 0.497 0.497

[16]
Material: Mn2CoCu
Method: DFT, PBE
State: optimized geometry

Properties
**E above lowest polymorph**: 0.045 eV/atom
**Formation enthalpy at 0 K**: 144 meV/atom
**Calculated volume**: 45.5 Å³/cell
**Size of the total moment**: 1.837 Bohr magnetons per cell

Lattice parameters (Å, degrees): 2.521 2.521 7.156 90.00 90.00 90.00
Element x y z (fractional)
Co 0.000 0.000 0.486
Mn 0.500 0.500 0.260
Mn 0.000 0.000 0.010
Cu 0.500 0.500 0.744

[17]
Material: MnCoCuMo2
Method: DFT, PBE
State: optimized geometry

Properties
**Formation enthalpy at 0 K**: 1332 meV/atom
**Calculated volume**: 81.0 Å³/cell
**Size of the total moment**: 0.000 Bohr magnetons per cell

Lattice parameters (Å, degrees): 4.417 4.153 4.417 90.00 90.00 90.00
Element x y z (fractional)
Co 0.000 0.000 0.000
Mn 0.000 0.500 0.000
Mo 0.000 0.000 0.500
Mo 0.500 0.000 0.000
Cu 0.500 0.500 0.500

[18]
Material: Mn2CoCuN
Method: DFT, PBE
State: optimized geometry

Properties
**Calculated volume**: 56.2 Å³/cell
**Uncorrected formation energy**: -86 meV/atom
**Size of the total moment**: 6.691 Bohr magnetons per cell

Lattice parameters (Å, degrees): 3.913 3.913 3.672 90.00 90.00 90.00
Element x y z (fractional)
Mn 0.500 0.000 0.000
Mn 0.000 0.500 0.000
Cu 0.500 0.500 0.500
N 0.000 0.000 0.000
Co 0.000 0.000 0.500

[19]
Material: MnNbCoCu
Method: DFT, PBE
State: optimized geometry

Properties
**Formation enthalpy at 0 K**: 64 meV/atom
**Calculated volume**: 55.0 Å³/cell
**Size of the total moment**: 4.557 Bohr magnetons per cell

Lattice parameters (Å, degrees): 4.269 4.269 4.269 60.00 60.00 60.00
Element x y z (fractional)
Mn 0.500 0.500 0.500
Nb 0.000 0.000 0.000
Cu 0.250 0.250 0.250
Co 0.750 0.750 0.750